[1]
DFT (PBE) results for an optimized crystal structure of K4Np3TiSe8.

Formation energy (no corrections)   -1.21 eV/atom
Total moment   5.01 μB per formula unit
Energy   -6.145 eV per atom

Cell lengths 8.3335, 8.3335, 9.0400 Å; angles 117.14, 117.14, 60.31 degrees
Sites, in units of the cell vectors:
K: 0.0000 0.0000 0.0000
K: 0.0000 0.5000 0.0000
K: 0.5000 0.0000 0.0000
K: 0.5000 0.5000 0.0000
Np: 0.0000 0.0000 0.5000
Np: 0.0000 0.5000 0.5000
Np: 0.5000 0.0000 0.5000
Ti: 0.5000 0.5000 0.5000
Se: 0.2379 0.2379 0.7114
Se: 0.2521 0.7229 0.6992
Se: 0.2734 0.2734 0.2996
Se: 0.2771 0.7479 0.3008
Se: 0.7229 0.2521 0.6992
Se: 0.7266 0.7266 0.7004
Se: 0.7479 0.2771 0.3008
Se: 0.7621 0.7621 0.2886

[2]
DFT (PBE) results for an optimized crystal structure of K3NpTi2Se6.

Formation energy (no corrections)   -1.20 eV/atom
Total moment   6.00 μB per formula unit
Energy   -5.615 eV per atom

Cell lengths 6.8966, 6.8966, 8.0077 Å; angles 98.29, 98.29, 120.15 degrees
Sites, in units of the cell vectors:
K: 0.0000 0.0000 0.0000
K: 0.3378 0.6622 0.0000
K: 0.6622 0.3378 0.0000
Np: 0.5000 0.5000 0.5000
Ti: 0.1688 0.8312 0.5000
Ti: 0.8312 0.1688 0.5000
Se: 0.0812 0.4341 0.3037
Se: 0.2109 0.2109 0.6933
Se: 0.4341 0.0812 0.3037
Se: 0.5659 0.9188 0.6963
Se: 0.7891 0.7891 0.3067
Se: 0.9188 0.5659 0.6963

[3]
DFT (PBE) results for an optimized crystal structure of K3Np2TiSe6.

Formation energy (no corrections)   -1.23 eV/atom
Total moment   9.00 μB per formula unit
Energy   -6.057 eV per atom

Cell lengths 7.1207, 7.1207, 8.0613 Å; angles 98.49, 98.49, 120.01 degrees
Sites, in units of the cell vectors:
K: 0.0000 0.0000 0.0000
K: 0.3306 0.6694 0.0000
K: 0.6694 0.3306 0.0000
Np: 0.1664 0.8336 0.5000
Np: 0.8336 0.1664 0.5000
Ti: 0.5000 0.5000 0.5000
Se: 0.1175 0.4330 0.2989
Se: 0.2522 0.2522 0.7018
Se: 0.4330 0.1175 0.2989
Se: 0.5670 0.8825 0.7011
Se: 0.7478 0.7478 0.2982
Se: 0.8825 0.5670 0.7011

[4]
DFT (PBE) results for an optimized crystal structure of K3Np3TiSe8.

Formation energy (no corrections)   -1.23 eV/atom
Total moment   12.00 μB per formula unit
Energy   -6.419 eV per atom

Cell lengths 9.1671, 9.1671, 9.1671 Å; angles 53.12, 53.12, 53.12 degrees
Sites, in units of the cell vectors:
K: 0.0000 0.5000 0.5000
K: 0.5000 0.0000 0.5000
K: 0.5000 0.5000 0.0000
Np: 0.0000 0.0000 0.5000
Np: 0.0000 0.5000 0.0000
Np: 0.5000 0.0000 0.0000
Ti: 0.5000 0.5000 0.5000
Se: 0.2361 0.2361 0.2361
Se: 0.2516 0.7207 0.7207
Se: 0.2793 0.2793 0.7484
Se: 0.2793 0.7484 0.2793
Se: 0.7207 0.2516 0.7207
Se: 0.7207 0.7207 0.2516
Se: 0.7484 0.2793 0.2793
Se: 0.7639 0.7639 0.7639

[5]
DFT (PBE) results for an optimized crystal structure of K2NpTiSe4.

Formation energy (no corrections)   -1.21 eV/atom
Total moment   5.00 μB per formula unit
Energy   -5.830 eV per atom

Cell lengths 6.9430, 4.0741, 8.0516 Å; angles 90.00, 107.00, 90.00 degrees
Sites, in units of the cell vectors:
K: 0.0000 0.0000 0.0000
K: 0.5000 0.5000 0.0000
Np: 0.0000 0.5000 0.5000
Ti: 0.5000 0.0000 0.5000
Se: 0.2521 0.0000 0.7038
Se: 0.2852 0.5000 0.3062
Se: 0.7148 0.5000 0.6938
Se: 0.7479 0.0000 0.2962

[6]
DFT (PBE) results for an optimized crystal structure of K4Np3TlSe8.

Formation energy (no corrections)   -1.15 eV/atom
Total moment   9.99 μB per formula unit
Energy   -5.741 eV per atom

Cell lengths 8.7308, 8.7308, 9.0802 Å; angles 118.78, 118.78, 60.00 degrees
Sites, in units of the cell vectors:
K: 0.0000 0.0000 0.0000
K: 0.0000 0.5000 0.0000
K: 0.5000 0.0000 0.0000
K: 0.5000 0.5000 0.0000
Np: 0.0000 0.0000 0.5000
Np: 0.0000 0.5000 0.5000
Np: 0.5000 0.0000 0.5000
Tl: 0.5000 0.5000 0.5000
Se: 0.2054 0.7489 0.7027
Se: 0.2350 0.2350 0.7045
Se: 0.2513 0.2513 0.2975
Se: 0.2511 0.7946 0.2973
Se: 0.7489 0.2054 0.7027
Se: 0.7487 0.7487 0.7025
Se: 0.7650 0.7650 0.2955
Se: 0.7946 0.2511 0.2973

[7]
DFT (PBE) results for an optimized crystal structure of K2NpTl3Se6.

Formation energy (no corrections)   -0.76 eV/atom
Total moment   0.00 μB per formula unit
Energy   -4.354 eV per atom

Cell lengths 7.9707, 7.9707, 7.7001 Å; angles 99.73, 99.73, 120.26 degrees
Sites, in units of the cell vectors:
K: 0.1678 0.8322 0.0000
K: 0.8322 0.1678 0.0000
Np: 0.5000 0.5000 0.0000
Tl: 0.0000 0.0000 0.5000
Tl: 0.3439 0.6561 0.5000
Tl: 0.6561 0.3439 0.5000
Se: 0.1580 0.4260 0.7858
Se: 0.2978 0.2978 0.2206
Se: 0.4260 0.1580 0.7858
Se: 0.5740 0.8420 0.2142
Se: 0.7022 0.7022 0.7794
Se: 0.8420 0.5740 0.2142

[8]
DFT (PBE) results for an optimized crystal structure of K2NpTlSe4.

Formation energy (no corrections)   -1.00 eV/atom
Total moment   2.00 μB per formula unit
Energy   -4.929 eV per atom

Cell lengths 7.8761, 4.3157, 7.9435 Å; angles 90.00, 108.35, 90.00 degrees
Sites, in units of the cell vectors:
K: 0.0000 0.0000 0.0000
K: 0.0000 0.5000 0.5000
Np: 0.5000 0.0000 0.5000
Tl: 0.5000 0.5000 0.0000
Se: 0.2951 0.0000 0.7136
Se: 0.2979 0.5000 0.2945
Se: 0.7021 0.5000 0.7055
Se: 0.7049 0.0000 0.2864